YTmSnTe3 after structural relaxation. Source: OQMD via LeMat-Bulk, functional PBE-GGA. Values from VASP.

```
&SYSTEM
  ibrav = 0, nat = 12, ntyp = 4
/
ATOMIC_SPECIES
Te 127.60 Te.upf
Tm 168.93 Tm.upf
Y 88.91 Y.upf
Sn 118.71 Sn.upf
ATOMIC_POSITIONS crystal
Te 0.8590 0.1410 0.5445
Te 0.3963 0.6037 0.2500
Te 0.1410 0.8590 0.0445
Te 0.6037 0.3963 0.7500
Te 0.1410 0.8590 0.4555
Te 0.8590 0.1410 0.9555
Tm 0.9753 0.0247 0.7500
Tm 0.0247 0.9753 0.2500
Y 0.5000 0.5000 0.0000
Y 0.5000 0.5000 0.5000
Sn 0.6885 0.3115 0.2500
Sn 0.3115 0.6885 0.7500
CELL_PARAMETERS angstrom
-5.7966 4.5130 -2.9593
5.2998 -5.7567 -1.2238
-7.9408 -8.0178 3.3270
```

Computed properties:
Crystal system   orthorhombic
Energy   -4.9039 eV/atom

=====

USeS after structural relaxation. Source: OQMD via LeMat-Bulk, functional PBE-GGA. Values from VASP.

```
&SYSTEM
  ibrav = 0, nat = 9, ntyp = 3
/
ATOMIC_SPECIES
Se 78.96 Se.upf
U 238.03 U.upf
S 32.06 S.upf
ATOMIC_POSITIONS crystal
Se 0.6667 0.3333 0.0000
Se 0.3333 0.6667 0.0000
Se 0.0000 0.0000 0.5000
U 0.0000 0.2966 0.0000
U 0.2966 0.0000 0.0000
U 0.7034 0.7034 0.0000
S 0.6495 0.0000 0.5000
S 0.3505 0.3505 0.5000
S 0.0000 0.6495 0.5000
CELL_PARAMETERS angstrom
7.8377 0.0000 0.0000
-3.9188 6.7876 0.0000
0.0000 0.0000 3.5063
```

Computed properties:
Crystal system   hexagonal
Energy   -7.0436 eV/atom
Polymorph energy (0 for the lowest one)   390.7 meV/atom

=====

Cs3AgCl6 after structural relaxation. Source: OQMD via LeMat-Bulk, functional PBE-GGA. Values from VASP.

```
&SYSTEM
  ibrav = 0, nat = 10, ntyp = 3
/
ATOMIC_SPECIES
Cl 35.45 Cl.upf
Cs 132.91 Cs.upf
Ag 107.87 Ag.upf
ATOMIC_POSITIONS crystal
Cl 0.2218 0.7782 0.2218
Cl 0.2218 0.2218 0.7782
Cl 0.2218 0.7782 0.7782
Cl 0.7782 0.2218 0.2218
Cl 0.7782 0.2218 0.7782
Cl 0.7782 0.7782 0.2218
Cs 0.5000 0.5000 0.5000
Cs 0.2500 0.2500 0.2500
Cs 0.7500 0.7500 0.7500
Ag 0.0000 0.0000 0.0000
CELL_PARAMETERS angstrom
0.5194 -7.6198 -2.3875
-6.5224 -3.8262 -2.6173
-0.7276 -1.8204 -7.7581
```

Computed properties:
Crystal system   cubic
Energy   -2.8780 eV/atom

=====

BaAg2PbSeS3 after structural relaxation. Source: OQMD via LeMat-Bulk, functional PBE-GGA. Values from VASP.

```
&SYSTEM
  ibrav = 0, nat = 8, ntyp = 5
/
ATOMIC_SPECIES
S 32.06 S.upf
Ag 107.87 Ag.upf
Se 78.96 Se.upf
Pb 207.20 Pb.upf
Ba 137.33 Ba.upf
ATOMIC_POSITIONS crystal
S 0.8706 0.4615 0.9727
S 0.4866 0.8950 0.0230
S 0.1235 0.1152 0.5921
Ag 0.6902 0.1744 0.4997
Ag 0.3065 0.8195 0.5013
Se 0.5221 0.5326 0.4136
Pb 0.4972 0.4980 0.9892
Ba 0.0033 0.0038 0.0083
CELL_PARAMETERS angstrom
-3.7492 5.3596 -0.5862
-0.9686 -1.4451 6.3690
6.2904 1.2171 -1.7953
```

Computed properties:
Crystal system   triclinic
Energy   -4.0176 eV/atom

=====

ScSiPd after structural relaxation. Source: OQMD via LeMat-Bulk, functional PBE-GGA. Values from VASP.

```
&SYSTEM
  ibrav = 0, nat = 12, ntyp = 3
/
ATOMIC_SPECIES
Pd 106.42 Pd.upf
Si 28.09 Si.upf
Sc 44.96 Sc.upf
ATOMIC_POSITIONS crystal
Pd 0.8550 0.7500 0.0504
Pd 0.1450 0.2500 0.9496
Pd 0.6450 0.2500 0.5504
Pd 0.3550 0.7500 0.4496
Si 0.2176 0.7500 0.8317
Si 0.7824 0.2500 0.1683
Si 0.2824 0.2500 0.3317
Si 0.7176 0.7500 0.6683
Sc 0.8589 0.7500 0.3642
Sc 0.3589 0.7500 0.1358
Sc 0.6411 0.2500 0.8642
Sc 0.1411 0.2500 0.6358
CELL_PARAMETERS angstrom
-2.1194 3.4476 -3.4323
-2.9425 1.0056 2.8271
5.5619 6.7811 3.3768
```

Computed properties:
Crystal system   orthorhombic
Energy   -6.3510 eV/atom

=====

Y4ErTm2Ni2Te2 after structural relaxation. Source: OQMD via LeMat-Bulk, functional PBE-GGA. Values from VASP.

```
&SYSTEM
  ibrav = 0, nat = 11, ntyp = 5
/
ATOMIC_SPECIES
Ni 58.69 Ni.upf
Y 88.91 Y.upf
Tm 168.93 Tm.upf
Te 127.60 Te.upf
Er 167.26 Er.upf
ATOMIC_POSITIONS crystal
Ni 0.1649 0.4004 0.7645
Ni 0.6360 0.4004 0.2356
Y 0.7833 0.0978 0.6855
Y 0.4123 0.0978 0.3145
Y 0.0274 0.8962 0.1312
Y 0.7650 0.8962 0.8688
Tm 0.1051 0.7502 0.3549
Tm 0.3952 0.7502 0.6451
Te 0.7385 0.2385 0.5000
Te 0.1429 0.1429 0.0000
Er 0.4756 0.4756 0.0000
CELL_PARAMETERS angstrom
0.8166 -7.8690 4.9472
-8.5826 2.7824 -2.3794
8.2815 -4.1286 -1.1978
```

Computed properties:
Crystal system   orthorhombic
Energy   -5.8347 eV/atom
Polymorph energy (0 for the lowest one)   12.8 meV/atom